Density functional theory data (PBEsol) for crystalline BaZnSe2 at its relaxed geometry.

Lattice parameters (Å, degrees): 7.1907 7.1907 7.1907 34.05 34.05 34.05
Element x y z (fractional)
Ba 0.0000 0.0000 0.0000
Zn 0.5000 0.5000 0.5000
Se 0.2312 0.2312 0.2312
Se 0.7688 0.7688 0.7688

Properties
raw formation energy: -1.07 eV/atom
symmetry: R-3m, No. 166



Density functional theory data (PBEsol) for crystalline BaCuPdPb2 at its relaxed geometry.

Lattice parameters (Å, degrees): 6.1188 6.1188 5.0688 90.00 90.00 90.00
Element x y z (fractional)
Ba 0.0000 0.0000 0.0000
Cu 0.0000 0.0000 0.5000
Pd 0.5000 0.5000 0.5000
Pb 0.0000 0.5000 0.0000
Pb 0.5000 0.0000 0.0000

Properties
energy relative to the elements: 1.5287 eV/atom
N(E_F): 4.26 states/eV/f.u.
symmetry: P4/mmm, No. 123



Density functional theory data (PBEsol) for crystalline Be2InPb at its relaxed geometry.

Lattice parameters (Å, degrees): 3.0745 3.8145 6.4123 90.00 90.00 90.00
Element x y z (fractional)
Be 0.0000 0.0000 0.1776
Be 0.0000 0.0000 0.8224
In 0.5000 0.5000 0.0000
Pb 0.5000 0.5000 0.5000

Properties
energy relative to the elements: 0.6388 eV/atom
N(E_F): 1.52 states/eV/f.u.
symmetry: Pmmm, No. 47



Density functional theory data (PBEsol) for crystalline Be3FeAu at its relaxed geometry.

Lattice parameters (Å, degrees): 4.2210 4.2210 4.2210 90.00 90.00 90.00
Element x y z (fractional)
Be 0.0000 0.0000 0.5000
Be 0.0000 0.5000 0.0000
Be 0.5000 0.0000 0.0000
Fe 0.5000 0.5000 0.5000
Au 0.0000 0.0000 0.0000

Properties
energy relative to the elements: 0.9282 eV/atom
N(E_F): 4.54 states/eV/f.u.
symmetry: Pm-3m, No. 221



Density functional theory data (PBEsol) for crystalline SiHgMo at its relaxed geometry.

Lattice parameters (Å, degrees): 5.3991 5.3991 5.3991 145.46 145.46 49.65
Element x y z (fractional)
Si 0.0000 0.0000 0.0000
Hg 0.2986 0.2986 0.0000
Mo 0.6006 0.6006 0.0000

Properties
raw formation energy: 0.23 eV/atom
N(E_F): 0.41 states/eV/f.u.
symmetry: I4mm, No. 107



Density functional theory data (PBEsol) for crystalline MnWAu2 at its relaxed geometry.

Lattice parameters (Å, degrees): 5.2274 5.2274 5.2274 146.36 128.34 63.07
Element x y z (fractional)
Mn 0.0000 0.0000 0.0000
W 0.1910 0.6910 0.5000
Au 0.4712 0.4712 0.0000
Au 0.7532 0.2532 0.5000

Properties
energy relative to the elements: 0.3837 eV/atom
N(E_F): 2.33 states/eV/f.u.
symmetry: Imm2, No. 44



Density functional theory data (PBEsol) for crystalline Ca2C at its relaxed geometry.

Lattice parameters (Å, degrees): 7.1199 7.1199 7.1199 152.57 116.53 70.47
Element x y z (fractional)
Ca 0.2325 0.2325 0.0000
Ca 0.2455 0.0000 0.2455
Ca 0.7545 0.0000 0.7545
Ca 0.7675 0.7675 0.0000
C 0.0583 0.5583 0.5000
C 0.9417 0.4417 0.5000

Properties
energy relative to the elements: 0.0165 eV/atom
N(E_F): 1.85 states/eV/f.u.
symmetry: Immm, No. 71



Density functional theory data (PBEsol) for crystalline YHfAg2C at its relaxed geometry.

Lattice parameters (Å, degrees): 5.1583 5.1583 4.0927 90.00 90.00 90.00
Element x y z (fractional)
Y 0.0000 0.0000 0.0000
Hf 0.5000 0.5000 0.5000
Ag 0.0000 0.5000 0.5000
Ag 0.5000 0.0000 0.5000
C 0.5000 0.5000 0.0000

Properties
energy relative to the elements: 0.7327 eV/atom
N(E_F): 3.25 states/eV/f.u.
symmetry: P4/mmm, No. 123



What did the seventh record say?
Density functional theory data (PBEsol) for crystalline Ca2C at its relaxed geometry.

Lattice parameters (Å, degrees): 7.1199 7.1199 7.1199 152.57 116.53 70.47
Element x y z (fractional)
Ca 0.2325 0.2325 0.0000
Ca 0.2455 0.0000 0.2455
Ca 0.7545 0.0000 0.7545
Ca 0.7675 0.7675 0.0000
C 0.0583 0.5583 0.5000
C 0.9417 0.4417 0.5000

Properties
energy relative to the elements: 0.0165 eV/atom
N(E_F): 1.85 states/eV/f.u.
symmetry: Immm, No. 71